A relaxed structure of RbTlGa2Os, computed with PBE.

Values from the calculation:
Energy relative to the elements: 1.215 eV/atom
Distance to the lowest polymorph of the same formula: 6.344 eV/f.u.
DFT total energy: -2.91 eV/atom

a = 5.553 Å, b = 5.553 Å, c = 5.316 Å
α = 90.00°, β = 90.00°, γ = 90.00°
Fractional positions:
1 Rb 0.000 0.000 0.000
2 Tl 0.500 0.500 0.500
3 Ga 0.000 0.500 0.500
4 Ga 0.500 0.000 0.500
5 Os 0.500 0.500 0.000